Compound: RbSmCoF6
Source: the Alexandria database
Functional: PBE with a Hubbard U
Structure: relaxed

Properties
mass density: 4.556 Mg/m³
SG: Imma, No. 74
crystal system: orthorhombic
VASP energy: -5.5755 eV/atom
M_tot: 6.0 Bohr magnetons per cell

a = 7.7591 Å, b = 7.3963 Å, c = 7.4625 Å
α = 119.71°, β = 121.32°, γ = 90.00°
Site moments in Bohr magnetons follow the coordinates.
Sites, in units of the cell vectors:
Rb (0.8404, 0.5904, 0.6808)  0.00
Rb (0.1596, 0.4096, 0.3192)  0.00
Sm (0.5000, 0.0000, 0.5000)  0.00
Sm (0.0000, 0.0000, 0.5000)  0.00
Co (0.5000, 0.5000, 0.0000)  2.77
Co (0.5000, 0.0000, 0.0000)  2.77
F (0.5969, 0.8469, 0.1938)  0.04
F (0.8671, 0.1171, 0.7342)  0.00
F (0.8252, 0.1510, 0.2666)  0.03
F (0.4414, 0.6155, 0.2666)  0.03
F (0.4414, 0.1510, 0.2666)  0.03
F (0.8252, 0.6155, 0.2666)  0.03
F (0.4031, 0.1531, 0.8062)  0.04
F (0.1329, 0.8829, 0.2658)  0.00
F (0.1748, 0.8490, 0.7334)  0.03
F (0.5586, 0.3845, 0.7334)  0.03
F (0.5586, 0.8490, 0.7334)  0.03
F (0.1748, 0.3845, 0.7334)  0.03